1.
# Ce6FeSb5 (PBE-GGA, optimized geometry)
data_Ce6FeSb5
_space_group_name_H-M_alt 'P 1'
_space_group_IT_number 1
_cell_length_a 7.601
_cell_length_b 7.644
_cell_length_c 7.605
_cell_angle_alpha 59.83
_cell_angle_beta 80.21
_cell_angle_gamma 70.22
loop_
_space_group_symop_operation_xyz
'x,y,z'
loop_
_atom_site_label
_atom_site_type_symbol
_atom_site_fract_x
_atom_site_fract_y
_atom_site_fract_z
_atom_site_occupancy
Ce1 Ce 0.774 0.073 0.299 1
Ce2 Ce 0.226 0.627 0.299 1
Ce3 Ce 0.240 0.221 0.000 1
Ce4 Ce 0.760 0.779 0.000 1
Ce5 Ce 0.774 0.373 0.701 1
Ce6 Ce 0.226 0.927 0.701 1
Fe1 Fe 0.000 0.000 0.000 1
Sb1 Sb 0.500 0.182 0.635 1
Sb2 Sb 0.000 0.336 0.328 1
Sb3 Sb 0.500 0.500 0.000 1
Sb4 Sb 0.000 0.664 0.672 1
Sb5 Sb 0.500 0.818 0.365 1
# * D(E_F): 2.012 states/eV per atom
# * volume: 29.955 A^3/atom


2.
# CeFeSb (PBE-GGA, optimized geometry)
data_CeFeSb
_space_group_name_H-M_alt 'P 1'
_space_group_IT_number 1
_cell_length_a 6.146
_cell_length_b 4.717
_cell_length_c 5.138
_cell_angle_alpha 89.99
_cell_angle_beta 102.92
_cell_angle_gamma 112.59
loop_
_space_group_symop_operation_xyz
'x,y,z'
loop_
_atom_site_label
_atom_site_type_symbol
_atom_site_fract_x
_atom_site_fract_y
_atom_site_fract_z
_atom_site_occupancy
Fe1 Fe 0.335 0.167 0.744 1
Fe2 Fe 0.665 0.833 0.256 1
Sb1 Sb 0.238 0.619 0.886 1
Sb2 Sb 0.762 0.381 0.114 1
Ce1 Ce 0.746 0.873 0.668 1
Ce2 Ce 0.254 0.127 0.332 1
# * D(E_F): 0.152 states/eV per atom
# * volume: 22.243 A^3/atom


3.
# Ce8FeSb2 (PBE-GGA, optimized geometry)
data_Ce8FeSb2
_space_group_name_H-M_alt 'P 1'
_space_group_IT_number 1
_cell_length_a 5.311
_cell_length_b 6.402
_cell_length_c 9.576
_cell_angle_alpha 112.13
_cell_angle_beta 106.10
_cell_angle_gamma 90.00
loop_
_space_group_symop_operation_xyz
'x,y,z'
loop_
_atom_site_label
_atom_site_type_symbol
_atom_site_fract_x
_atom_site_fract_y
_atom_site_fract_z
_atom_site_occupancy
Ce1 Ce 0.425 0.597 0.850 1
Ce2 Ce 0.642 0.969 0.284 1
Ce3 Ce 0.775 0.720 0.550 1
Ce4 Ce 0.003 0.221 0.007 1
Ce5 Ce 0.225 0.280 0.450 1
Ce6 Ce 0.358 0.031 0.716 1
Ce7 Ce 0.575 0.403 0.150 1
Ce8 Ce 0.997 0.779 0.993 1
Fe1 Fe 0.500 0.000 0.000 1
Sb1 Sb 0.835 0.300 0.669 1
Sb2 Sb 0.165 0.700 0.331 1
# * D(E_F): 3.127 states/eV per atom
# * volume: 26.161 A^3/atom


4.
# CeFe4Sb12 (PBE-GGA, optimized geometry)
data_CeFe4Sb12
_space_group_name_H-M_alt 'P 1'
_space_group_IT_number 1
_cell_length_a 7.924
_cell_length_b 7.924
_cell_length_c 7.924
_cell_angle_alpha 109.47
_cell_angle_beta 109.47
_cell_angle_gamma 109.47
loop_
_space_group_symop_operation_xyz
'x,y,z'
loop_
_atom_site_label
_atom_site_type_symbol
_atom_site_fract_x
_atom_site_fract_y
_atom_site_fract_z
_atom_site_occupancy
Ce1 Ce 0.000 0.000 0.000 1
Fe1 Fe 0.500 0.000 0.000 1
Fe2 Fe 0.000 0.000 0.500 1
Fe3 Fe 0.000 0.500 0.000 1
Fe4 Fe 0.500 0.500 0.500 1
Sb1 Sb 0.163 0.829 0.666 1
Sb2 Sb 0.837 0.171 0.334 1
Sb3 Sb 0.163 0.497 0.334 1
Sb4 Sb 0.837 0.503 0.666 1
Sb5 Sb 0.666 0.163 0.829 1
Sb6 Sb 0.334 0.837 0.171 1
Sb7 Sb 0.334 0.163 0.497 1
Sb8 Sb 0.666 0.837 0.503 1
Sb9 Sb 0.829 0.666 0.163 1
Sb10 Sb 0.171 0.334 0.837 1
Sb11 Sb 0.497 0.334 0.163 1
Sb12 Sb 0.503 0.666 0.837 1
# * D(E_F): 0.407 states/eV per atom
# * volume: 22.533 A^3/atom


5.
# Ce4FeSb2 (PBE-GGA, optimized geometry)
data_Ce4FeSb2
_space_group_name_H-M_alt 'P 1'
_space_group_IT_number 1
_cell_length_a 4.682
_cell_length_b 4.929
_cell_length_c 8.408
_cell_angle_alpha 107.04
_cell_angle_beta 90.00
_cell_angle_gamma 90.00
loop_
_space_group_symop_operation_xyz
'x,y,z'
loop_
_atom_site_label
_atom_site_type_symbol
_atom_site_fract_x
_atom_site_fract_y
_atom_site_fract_z
_atom_site_occupancy
Sb1 Sb 0.500 0.350 0.700 1
Sb2 Sb 0.500 0.650 0.300 1
Fe1 Fe 0.000 0.000 0.000 1
Ce1 Ce 0.000 0.500 0.000 1
Ce2 Ce 0.500 0.000 0.000 1
Ce3 Ce 0.000 0.180 0.361 1
Ce4 Ce 0.000 0.820 0.639 1
# * D(E_F): 2.376 states/eV per atom
# * volume: 26.504 A^3/atom


6.
# Ce2FeSb (PBE-GGA, optimized geometry)
data_Ce2FeSb
_space_group_name_H-M_alt 'P 1'
_space_group_IT_number 1
_cell_length_a 3.696
_cell_length_b 3.696
_cell_length_c 9.688
_cell_angle_alpha 79.00
_cell_angle_beta 79.00
_cell_angle_gamma 60.00
loop_
_space_group_symop_operation_xyz
'x,y,z'
loop_
_atom_site_label
_atom_site_type_symbol
_atom_site_fract_x
_atom_site_fract_y
_atom_site_fract_z
_atom_site_occupancy
Sb1 Sb 0.000 0.000 0.000 1
Fe1 Fe 0.500 0.500 0.500 1
Ce1 Ce 0.113 0.113 0.661 1
Ce2 Ce 0.887 0.887 0.339 1
# * D(E_F): 1.826 states/eV per atom
# * volume: 27.943 A^3/atom


no.,E (eV per atom)
1,-6.145
2,-6.737
3,-6.180
4,-5.464
5,-6.407
6,-6.034